(1)
Here is Dy3Cd2Au after structural relaxation from Alexandria via LeMat-Bulk. Energies are from PBE-GGA.

The energy above the lowest structure with this stoichiometry is 0 meV/atom. Its energy of formation is -0.503 eV per atom.

The space group is P4/mmm (No. 123) and the conventional cell measures 3.679, 3.679 and 11.149 Å, with angles of 90.00, 90.00 and 90.00 degrees. Symmetry generates all atoms from Dy at (0.000, 0.000, 0.000), Dy at (0.000, 0.000, 0.345), Cd at (0.500, 0.500, 0.168) and Au at (0.500, 0.500, 0.500).

---

(2)
Here is Sm3IrPb after structural relaxation from Alexandria via LeMat-Bulk. Energies are from PBE-GGA.

The energy above the lowest structure with this stoichiometry is 238 meV/atom. Its energy of formation is -0.396 eV per atom.

The space group is Pm-3m (No. 221) and the conventional cell measures 5.471, 5.471 and 5.471 Å, with angles of 90.00, 90.00 and 90.00 degrees. Symmetry generates all atoms from Sm at (0.000, 0.000, 0.500), Ir at (0.000, 0.000, 0.000) and Pb at (0.500, 0.500, 0.500).

---

(3)
Here is CeSm12In3 after structural relaxation from Alexandria via LeMat-Bulk. Energies are from PBE-GGA.

Its energy of formation is -0.178 eV per atom.

The space group is P4/mmm (No. 123) and the conventional cell measures 4.940, 4.940 and 20.148 Å, with angles of 90.00, 90.00 and 90.00 degrees. Symmetry generates all atoms from Ce at (0.000, 0.000, 0.000), Sm at (0.000, 0.500, 0.130), Sm at (0.000, 0.500, 0.377), Sm at (0.500, 0.500, 0.000), Sm at (0.500, 0.500, 0.254), Sm at (0.500, 0.500, 0.500), In at (0.000, 0.000, 0.255) and In at (0.000, 0.000, 0.500).

---

| no. | V (Å³ per cell) | size of the total moment (μB/atom) | DOS at the Fermi energy (states/eV/atom) |
| --- | --- | --- | --- |
| 1 | 151 | 0.000 | 0.82 |
| 2 | 164 | 0.000 | 1.21 |
| 3 | 492 | 0.071 | 1.62 |